(1)
{"formula": "K6NbAs3O", "functional": "PBE", "state": "relaxed", "energy_ev_per_cell": -177.331, "cell": [[11.0999, 0.0000, 0.0000], [0.0000, 11.0999, 0.0000], [0.0000, 0.0000, 11.0999]], "species": ["As", "As", "As", "As", "As", "As", "As", "As", "As", "As", "As", "As", "K", "K", "K", "K", "K", "K", "K", "K", "K", "K", "K", "K", "K", "K", "K", "K", "K", "K", "K", "K", "K", "K", "K", "K", "Nb", "Nb", "Nb", "Nb", "O", "O", "O", "O"], "frac_coords": [[0.3049, 0.3864, 0.0203], [0.9797, 0.8049, 0.1136], [0.6136, 0.5203, 0.1951], [0.3864, 0.0203, 0.3049], [0.0203, 0.3049, 0.3864], [0.6951, 0.8864, 0.4797], [0.1951, 0.6136, 0.5203], [0.5203, 0.1951, 0.6136], [0.8864, 0.4797, 0.6951], [0.1136, 0.9797, 0.8049], [0.4797, 0.6951, 0.8864], [0.8049, 0.1136, 0.9797], [0.2859, 0.8663, 0.0349], [0.5349, 0.2141, 0.1336], [0.6369, 0.8631, 0.1369], [0.1530, 0.1530, 0.1530], [0.8191, 0.3191, 0.1809], [0.1336, 0.5349, 0.2141], [0.8663, 0.0349, 0.2859], [0.1809, 0.8191, 0.3191], [0.8470, 0.6530, 0.3470], [0.3631, 0.3631, 0.3631], [0.4651, 0.7141, 0.3664], [0.7141, 0.3664, 0.4651], [0.2141, 0.1336, 0.5349], [0.9651, 0.7859, 0.6337], [0.8631, 0.1369, 0.6369], [0.3470, 0.8470, 0.6530], [0.6809, 0.6809, 0.6809], [0.3664, 0.4651, 0.7141], [0.6337, 0.9651, 0.7859], [0.3191, 0.1809, 0.8191], [0.6530, 0.3470, 0.8470], [0.1369, 0.6369, 0.8631], [0.0349, 0.2859, 0.8663], [0.7859, 0.6337, 0.9651], [0.4293, 0.5707, 0.0707], [0.5707, 0.0707, 0.4293], [0.0707, 0.4293, 0.5707], [0.9293, 0.9293, 0.9293], [0.3328, 0.6672, 0.1672], [0.6672, 0.1672, 0.3328], [0.1672, 0.3328, 0.6672], [0.8328, 0.8328, 0.8328]]}

(2)
{"formula": "Ho3GePd4", "functional": "PBE", "state": "relaxed", "energy_ev_per_cell": -45.493, "cell": [[-2.5140, -3.8603, -2.8476], [1.1583, -3.0382, 3.0962], [-5.4465, 1.6086, 3.6159]], "species": ["Ge", "Ho", "Ho", "Ho", "Pd", "Pd", "Pd", "Pd"], "frac_coords": [[0.3770, 0.0000, 0.6610], [0.1469, 0.0000, 0.1930], [0.6416, 0.5000, 0.3207], [0.8342, 0.5000, 0.8138], [0.6404, 0.0000, 0.0305], [0.1791, 0.5000, 0.5011], [0.8509, 0.0000, 0.5482], [0.3300, 0.5000, 0.9317]]}

(3)
{"formula": "LiIn2Pt", "functional": "PBE", "state": "relaxed", "polymorph_energy_mev_per_atom": 1.0, "cell": [[-3.3126, 1.8785, 5.3461], [-2.3809, -4.0316, -0.0586], [6.5365, -3.9392, 5.4343]], "species": ["In", "In", "In", "In", "In", "In", "In", "In", "Li", "Li", "Li", "Li", "Pt", "Pt", "Pt", "Pt"], "frac_coords": [[0.0000, 0.7500, 0.1274], [0.5000, 0.7500, 0.1274], [0.0000, 0.2500, 0.3726], [0.5000, 0.2500, 0.3726], [0.5000, 0.7500, 0.6274], [0.0000, 0.7500, 0.6274], [0.5000, 0.2500, 0.8726], [0.0000, 0.2500, 0.8726], [0.2500, 0.2500, 0.1201], [0.7500, 0.7500, 0.3799], [0.2500, 0.2500, 0.6201], [0.7500, 0.7500, 0.8799], [0.7500, 0.2500, 0.1218], [0.2500, 0.7500, 0.3782], [0.7500, 0.2500, 0.6218], [0.2500, 0.7500, 0.8782]]}

(4)
{"formula": "HoErSi2Au2", "functional": "PBE", "state": "relaxed", "energy_ev_per_cell": -31.378, "cell": [[4.3187, 0.0000, 0.0000], [-2.1594, 3.7401, 0.0000], [0.0000, 0.0000, 7.5321]], "species": ["Au", "Au", "Er", "Ho", "Si", "Si"], "frac_coords": [[0.6667, 0.3333, 0.2720], [0.3333, 0.6667, 0.7666], [0.0000, 0.0000, 0.4999], [0.0000, 0.0000, 0.0005], [0.3333, 0.6667, 0.2222], [0.6667, 0.3333, 0.7208]]}

(5)
{"formula": "Pa2Si3Pt", "functional": "PBE", "state": "relaxed", "energy_ev_per_cell": -91.820, "cell": [[1.9110, 5.9829, 5.1964], [-3.7075, 4.8356, 5.3560], [0.6795, -2.0348, 5.3204]], "species": ["Pa", "Pa", "Pa", "Pa", "Pt", "Pt", "Si", "Si", "Si", "Si", "Si", "Si"], "frac_coords": [[0.7552, 0.2448, 0.2448], [0.2500, 0.2500, 0.2500], [0.7500, 0.7500, 0.7500], [0.2448, 0.7552, 0.7552], [0.6635, 0.6635, 0.3365], [0.3365, 0.3365, 0.6635], [0.3273, 0.8384, 0.1616], [0.8333, 0.8333, 0.1667], [0.1616, 0.6727, 0.3273], [0.8384, 0.3273, 0.6727], [0.1667, 0.1667, 0.8333], [0.6727, 0.1616, 0.8384]]}

(6)
{"formula": "Ta2Si2O5", "functional": "PBE", "state": "relaxed", "polymorph_energy_mev_per_atom": 0.0, "cell": [[-1.6151, 0.3249, -7.0880], [3.3720, -1.8266, -0.8521], [-1.8172, -3.4736, 0.2549]], "species": ["O", "O", "O", "O", "O", "Si", "Si", "Ta", "Ta"], "frac_coords": [[0.2646, 0.5000, 0.0000], [0.7354, 0.5000, 0.0000], [0.2646, 0.0000, 0.5000], [0.7354, 0.0000, 0.5000], [0.5000, 0.5000, 0.5000], [0.0000, 0.0000, 0.0000], [0.5000, 0.0000, 0.0000], [0.2209, 0.5000, 0.5000], [0.7791, 0.5000, 0.5000]]}